80
Lattice="-7.725 7.725 7.725 7.725 -7.725 7.725 7.725 7.725 -7.725" Properties=species:S:1:pos:R:3 comment="V5S12I3 PBE optimized geometry" n_ef_per_ev_atom=0.886 total_energy_ev_per_cell=-419.4 pbc="T T T"
V 0.000 0.000 0.000
V 3.862 3.862 -3.862
V 3.862 -3.862 3.862
V 7.725 0.000 0.000
V 11.587 1.931 0.000
V 7.725 -3.862 5.793
V 5.793 7.725 -3.862
V 5.793 0.000 3.862
V 3.862 5.793 0.000
V 7.725 3.862 1.931
V -3.862 3.862 3.862
V 0.000 7.725 0.000
V 0.000 0.000 7.725
V 3.862 3.862 3.862
V 0.000 3.862 5.793
V 3.862 1.931 7.725
V 1.931 7.725 3.862
V 1.931 0.000 11.587
V 0.000 11.587 1.931
V -3.862 5.793 7.725
S 6.115 -4.386 4.398
S 13.196 0.535 -0.523
S 9.977 0.535 0.523
S 9.334 -3.339 4.398
S 11.063 3.327 -1.610
S 8.248 -5.472 7.189
S 4.398 6.115 -4.386
S 7.189 -0.523 2.253
S 7.189 8.248 -5.472
S 4.386 4.398 -1.610
S 7.201 2.253 0.535
S 4.398 -1.610 4.386
S 7.189 7.201 -2.253
S 4.398 1.610 3.339
S 12.110 3.327 1.610
S 7.201 -2.253 7.189
S 4.398 9.334 -3.339
S 7.189 0.523 5.472
S 3.339 4.398 1.610
S 8.248 5.472 0.535
S 2.253 7.189 -0.523
S 9.334 3.339 3.327
S 5.472 7.189 0.523
S 6.115 4.386 3.327
S 1.610 3.339 4.398
S 2.253 0.535 7.201
S -1.610 4.386 4.398
S 5.472 0.535 8.248
S -0.523 2.253 7.189
S 4.386 3.327 6.115
S 0.535 7.201 2.253
S 3.327 -1.610 11.063
S 0.523 9.977 0.535
S -4.386 4.398 6.115
S 3.327 6.115 4.386
S 0.535 0.523 9.977
S 3.327 9.334 3.339
S 0.523 5.472 7.189
S 3.339 3.327 9.334
S 0.535 -0.523 13.196
S 0.535 8.248 5.472
S 3.327 1.610 12.110
S -0.523 13.196 0.535
S -3.339 4.398 9.334
S -1.610 11.063 3.327
S -2.253 7.189 7.201
S -5.472 7.189 8.248
S 1.610 12.110 3.327
I 3.862 1.931 0.000
I 7.725 3.862 -1.931
I 1.931 0.000 3.862
I 9.656 0.000 3.862
I 0.000 3.862 1.931
I 3.862 -1.931 7.725
I 3.862 9.656 0.000
I 7.725 3.862 5.793
I -1.931 7.725 3.862
I 5.793 7.725 3.862
I 0.000 3.862 9.656
I 3.862 5.793 7.725